No. 1
A relaxed structure of Cd2NiBi. Source: the Alexandria database, functional PBE.

```
data_Cd2NiBi
_chemical_formula_sum 'Cd4 Ni2 Bi2'
_space_group_name_H-M_alt 'P 1'
_space_group_IT_number 1
_cell_length_a 4.095
_cell_length_b 4.095
_cell_length_c 11.055
_cell_angle_alpha 79.33
_cell_angle_beta 79.33
_cell_angle_gamma 90.00
loop_
_space_group_symop_operation_xyz
'x,y,z'
loop_
_atom_site_label
_atom_site_type_symbol
_atom_site_fract_x
_atom_site_fract_y
_atom_site_fract_z
_atom_site_occupancy
Bi1 Bi 0.750 0.250 0.500 1
Bi2 Bi 0.000 0.000 0.000 1
Ni1 Ni 0.500 0.500 0.000 1
Ni2 Ni 0.250 0.750 0.500 1
Cd1 Cd 0.608 0.125 0.250 1
Cd2 Cd 0.875 0.858 0.750 1
Cd3 Cd 0.142 0.625 0.250 1
Cd4 Cd 0.375 0.392 0.750 1
```

size of the total moment = 0.00 Bohr magnetons per cell
space-group type = No. 122
density = 9.142 Mg/m³
energy of formation = 26.0 kJ/mol of atoms
D(E_F) = 4.6 states/eV per cell

=====

No. 2
A relaxed structure of Ba6Pd2PtBr. Source: the Alexandria database, functional PBE.

```
data_Ba6Pd2PtBr
_chemical_formula_sum 'Ba6 Pd2 Pt1 Br1'
_space_group_name_H-M_alt 'P 1'
_space_group_IT_number 1
_cell_length_a 8.034
_cell_length_b 8.033
_cell_length_c 8.985
_cell_angle_alpha 63.44
_cell_angle_beta 63.43
_cell_angle_gamma 60.00
loop_
_space_group_symop_operation_xyz
'x,y,z'
loop_
_atom_site_label
_atom_site_type_symbol
_atom_site_fract_x
_atom_site_fract_y
_atom_site_fract_z
_atom_site_occupancy
Ba1 Ba 0.590 0.252 0.237 1
Ba2 Ba 0.252 0.921 0.237 1
Ba3 Ba 0.731 0.112 0.761 1
Ba4 Ba 0.396 0.731 0.761 1
Ba5 Ba 0.921 0.590 0.237 1
Ba6 Ba 0.112 0.396 0.761 1
Pd1 Pd 0.506 0.506 0.483 1
Pd2 Pd 0.004 0.004 0.989 1
Pt1 Pt 0.328 0.328 0.017 1
Br1 Br 0.823 0.823 0.530 1
```

size of the total moment = 0.00 Bohr magnetons per cell
ΔE_f (raw) = -0.72 eV per atom
space-group type = No. 146
density = 5.065 Mg/m³
D(E_F) = 7.2 states/eV per cell